Entry 1:
The following is a DFT calculation (PBE-GGA) of a relaxed structure of Y2TaIr.

a b c (Å): 7.339 7.339 7.339
angles (deg): 34.00 34.00 34.00
Atoms (fractional coordinates):
Y1 0.000 0.000 0.000
Y2 0.193 0.193 0.193
Ta1 0.437 0.437 0.437
Ir1 0.751 0.751 0.751

Results
* distance to the lowest polymorph of the same formula: 0.40 eV per formula unit
* calculated total energy: -8.553 eV/atom
* symmetry: R3m
* formation enthalpy at 0 K: -14 kJ per mole of atoms

Entry 2:
The following is a DFT calculation (PBE-GGA) of a relaxed structure of CrCdTe.

a b c (Å): 3.948 3.948 5.683
angles (deg): 90.00 90.00 120.00
Atoms (fractional coordinates):
Cr1 0.000 0.000 0.000
Cd1 0.333 0.667 0.664
Te1 0.667 0.333 0.256

Results
* distance to the lowest polymorph of the same formula: 0.21 eV per formula unit
* calculated total energy: -4.356 eV/atom
* symmetry: P3m1
* energy relative to the elements, uncorrected: 0.20 eV/atom

Entry 3:
The following is a DFT calculation (PBE-GGA) of a relaxed structure of Ac2La2Cd2Co.

a b c (Å): 3.998 7.060 8.744
angles (deg): 77.19 77.17 73.65
Atoms (fractional coordinates):
Ac1 0.093 0.166 0.151
Ac2 0.907 0.834 0.849
La1 0.344 0.253 0.549
La2 0.656 0.747 0.451
Cd1 0.372 0.593 0.164
Cd2 0.628 0.407 0.836
Co1 0.000 0.000 0.500

Results
* calculated total energy: -4.054 eV/atom
* symmetry: P-1
* formation enthalpy at 0 K: -19 kJ per mole of atoms

Entry 4:
The following is a DFT calculation (PBE-GGA) of a relaxed structure of TcSbTe2Os.

a b c (Å): 5.073 5.073 5.048
angles (deg): 90.00 90.00 90.00
Atoms (fractional coordinates):
Tc1 0.000 0.000 0.000
Sb1 0.000 0.000 0.500
Te1 0.000 0.500 0.000
Te2 0.500 0.000 0.000
Os1 0.500 0.500 0.500

Results
* distance to the lowest polymorph of the same formula: 0.69 eV per formula unit
* calculated total energy: -4.915 eV/atom
* symmetry: P4/mmm
* energy relative to the elements, uncorrected: 1.49 eV/atom

- Look up the calculated total energy of the second one.
  -4.356 eV/atom

- calculated total energy of number 1 (Y2TaIr)?
  -8.553 eV/atom

- Which of these has the lowest calculated total energy?
  Y2TaIr